No. 1
# PBE PuUTlS4, optimized geometry
data_PuUTlS4
_chemical_formula_sum 'Pu2 U2 Tl2 S8'
_cell_length_a 8.2599
_cell_length_b 8.3813
_cell_length_c 8.5354
_cell_angle_alpha 120.61
_cell_angle_beta 90.00
_cell_angle_gamma 119.52
_space_group_name_H-M_alt 'P 1'
_space_group_IT_number 1
_space_group_name_Hall 'P 1'
loop_
_atom_site_label
_atom_site_type_symbol
_atom_site_fract_x
_atom_site_fract_y
_atom_site_fract_z
_atom_site_occupancy
Tl1 Tl 0.8730 0.7460 0.1230 1
Tl2 Tl 0.1270 0.2540 0.8770 1
S1 S 0.7401 0.0481 0.2740 1
S2 S 0.7348 0.4696 0.2797 1
S3 S 0.6920 0.9519 0.7260 1
S4 S 0.2652 0.5304 0.3101 1
S5 S 0.3080 0.0481 0.2740 1
S6 S 0.2652 0.5304 0.7203 1
S7 S 0.7348 0.4696 0.6899 1
S8 S 0.2599 0.9519 0.7260 1
Pu1 Pu 0.5000 0.0000 0.0000 1
Pu2 Pu 0.5000 0.0000 0.5000 1
U1 U 0.5000 0.5000 0.5000 1
U2 U 0.0000 0.5000 0.5000 1
# electronic total energy = -7.601 eV/atom
# formation energy from raw total energies = -120.1 kJ/mol of atoms

***

No. 2
# PBE Pu3UTl4S8, optimized geometry
data_Pu3UTl4S8
_chemical_formula_sum 'Pu3 U1 Tl4 S8'
_cell_length_a 8.1569
_cell_length_b 8.8338
_cell_length_c 8.1570
_cell_angle_alpha 117.50
_cell_angle_beta 120.00
_cell_angle_gamma 90.00
_space_group_name_H-M_alt 'P 1'
_space_group_IT_number 1
_space_group_name_Hall 'P 1'
loop_
_atom_site_label
_atom_site_type_symbol
_atom_site_fract_x
_atom_site_fract_y
_atom_site_fract_z
_atom_site_occupancy
Tl1 Tl 0.0000 0.0000 0.0000 1
Tl2 Tl 0.5000 0.0000 0.5000 1
Tl3 Tl 0.5000 0.0000 0.0000 1
Tl4 Tl 0.0000 0.0000 0.5000 1
S1 S 0.2275 0.6937 0.4550 1
S2 S 0.7388 0.6937 0.9663 1
S3 S 0.2275 0.6937 0.9663 1
S4 S 0.2612 0.3063 0.0337 1
S5 S 0.2685 0.3057 0.5371 1
S6 S 0.7315 0.6943 0.4629 1
S7 S 0.7725 0.3063 0.5450 1
S8 S 0.7725 0.3063 0.0337 1
Pu1 Pu 0.5000 0.5000 0.0000 1
Pu2 Pu 0.5000 0.5000 0.5000 1
Pu3 Pu 0.0000 0.5000 0.5000 1
U1 U 0.0000 0.5000 0.0000 1
# electronic total energy = -7.237 eV/atom
# formation energy from raw total energies = -114.7 kJ/mol of atoms

***

No. 3
# PBE PuU2Tl3S6, optimized geometry
data_PuU2Tl3S6
_chemical_formula_sum 'Pu1 U2 Tl3 S6'
_cell_length_a 7.0185
_cell_length_b 7.0185
_cell_length_c 7.9003
_cell_angle_alpha 98.52
_cell_angle_beta 98.52
_cell_angle_gamma 119.99
_space_group_name_H-M_alt 'P 1'
_space_group_IT_number 1
_space_group_name_Hall 'P 1'
loop_
_atom_site_label
_atom_site_type_symbol
_atom_site_fract_x
_atom_site_fract_y
_atom_site_fract_z
_atom_site_occupancy
S1 S 0.7241 0.7241 0.1929 1
S2 S 0.5949 0.9350 0.8054 1
S3 S 0.2759 0.2759 0.8071 1
S4 S 0.4051 0.0650 0.1946 1
S5 S 0.9350 0.5949 0.8054 1
S6 S 0.0650 0.4051 0.1946 1
U1 U 0.3331 0.6669 0.0000 1
U2 U 0.6669 0.3331 0.0000 1
Pu1 Pu 0.0000 0.0000 0.0000 1
Tl1 Tl 0.5000 0.5000 0.5000 1
Tl2 Tl 0.8352 0.1648 0.5000 1
Tl3 Tl 0.1648 0.8352 0.5000 1
# electronic total energy = -6.834 eV/atom
# formation energy from raw total energies = -106.4 kJ/mol of atoms

***

No. 4
# PBE YPuTl2S4, optimized geometry
data_YPuTl2S4
_chemical_formula_sum 'Y1 Pu1 Tl2 S4'
_cell_length_a 4.0674
_cell_length_b 7.0458
_cell_length_c 7.8443
_cell_angle_alpha 107.45
_cell_angle_beta 90.00
_cell_angle_gamma 90.00
_space_group_name_H-M_alt 'P 1'
_space_group_IT_number 1
_space_group_name_Hall 'P 1'
loop_
_atom_site_label
_atom_site_type_symbol
_atom_site_fract_x
_atom_site_fract_y
_atom_site_fract_z
_atom_site_occupancy
S1 S 0.5000 0.2304 0.1984 1
S2 S 0.0000 0.2675 0.8041 1
S3 S 0.0000 0.7325 0.1959 1
S4 S 0.5000 0.7696 0.8016 1
Y1 Y 0.0000 0.0000 0.0000 1
Pu1 Pu 0.5000 0.5000 0.0000 1
Tl1 Tl 0.0000 0.5000 0.5000 1
Tl2 Tl 0.5000 0.0000 0.5000 1
# electronic total energy = -6.594 eV/atom
# formation energy from raw total energies = -129.2 kJ/mol of atoms

***

No. 5
# PBE Y3PuTl4S8, optimized geometry
data_Y3PuTl4S8
_chemical_formula_sum 'Y3 Pu1 Tl4 S8'
_cell_length_a 8.1064
_cell_length_b 8.8420
_cell_length_c 8.1062
_cell_angle_alpha 117.29
_cell_angle_beta 120.00
_cell_angle_gamma 90.00
_space_group_name_H-M_alt 'P 1'
_space_group_IT_number 1
_space_group_name_Hall 'P 1'
loop_
_atom_site_label
_atom_site_type_symbol
_atom_site_fract_x
_atom_site_fract_y
_atom_site_fract_z
_atom_site_occupancy
Y1 Y 0.5000 0.5000 0.0000 1
Y2 Y 0.0000 0.5000 0.5000 1
Y3 Y 0.5000 0.5000 0.5000 1
S1 S 0.2694 0.3021 0.0357 1
S2 S 0.7663 0.3021 0.0357 1
S3 S 0.2672 0.3017 0.5344 1
S4 S 0.2337 0.6979 0.9643 1
S5 S 0.7663 0.3021 0.5327 1
S6 S 0.2337 0.6979 0.4673 1
S7 S 0.7328 0.6983 0.4656 1
S8 S 0.7306 0.6979 0.9643 1
Pu1 Pu 0.0000 0.5000 0.0000 1
Tl1 Tl 0.5000 0.0000 0.0000 1
Tl2 Tl 0.0000 0.0000 0.5000 1
Tl3 Tl 0.5000 0.0000 0.5000 1
Tl4 Tl 0.0000 0.0000 0.0000 1
# electronic total energy = -6.174 eV/atom
# formation energy from raw total energies = -136.1 kJ/mol of atoms

***

No. 6
# PBE Y2PuTl3S6, optimized geometry
data_Y2PuTl3S6
_chemical_formula_sum 'Y2 Pu1 Tl3 S6'
_cell_length_a 7.0359
_cell_length_b 7.0359
_cell_length_c 7.8468
_cell_angle_alpha 98.60
_cell_angle_beta 98.60
_cell_angle_gamma 119.99
_space_group_name_H-M_alt 'P 1'
_space_group_IT_number 1
_space_group_name_Hall 'P 1'
loop_
_atom_site_label
_atom_site_type_symbol
_atom_site_fract_x
_atom_site_fract_y
_atom_site_fract_z
_atom_site_occupancy
Y1 Y 0.6667 0.3333 0.0000 1
Y2 Y 0.3333 0.6667 0.0000 1
Tl1 Tl 0.8332 0.1668 0.5000 1
Tl2 Tl 0.1668 0.8332 0.5000 1
Tl3 Tl 0.5000 0.5000 0.5000 1
S1 S 0.7304 0.7304 0.1978 1
S2 S 0.2696 0.2696 0.8022 1
S3 S 0.9340 0.5984 0.8019 1
S4 S 0.5984 0.9340 0.8019 1
S5 S 0.4016 0.0660 0.1981 1
S6 S 0.0660 0.4016 0.1981 1
Pu1 Pu 0.0000 0.0000 0.0000 1
# electronic total energy = -6.309 eV/atom
# formation energy from raw total energies = -133.3 kJ/mol of atoms

***

Q: Among the records above, which one has the lowest formation energy from raw total energies?
A: Y3PuTl4S8